No. 1
Density functional theory data (PBE-GGA) for a relaxed structure of Mg2TeS.

Lattice parameters (Å, degrees): 3.9663 3.9663 19.4874 90.00 90.00 120.00
Space group R-3m (No. 166, hexagonal axes)
Unique sites:
Mg  0.0000  0.0000  0.2410 (multiplicity 6)
Te  0.0000  0.0000  0.0000 (multiplicity 3)
S  0.0000  0.0000  0.5000 (multiplicity 3)

Results
* energy relative to the elements, uncorrected: -1.042 eV per atom

---

No. 2
Density functional theory data (PBE-GGA) for a relaxed structure of LiInAu5.

Lattice parameters (Å, degrees): 5.506 6.760 7.697 90.00 90.00 90.00
Space group Imm2 (No. 44)
Unique sites:
Li  0.000  0.000  0.000 (multiplicity 2)
In  0.000  0.500  0.118 (multiplicity 2)
Au  0.000  0.000  0.687 (multiplicity 2)
Au  0.000  0.303  0.454 (multiplicity 4)
Au  0.243  0.500  0.775 (multiplicity 4)

Results
* energy of formation: -0.043 eV per atom

---

No. 3
Density functional theory data (PBE-GGA) for a relaxed structure of Sr2Ti6N2O11.

Lattice parameters (Å, degrees): 15.204 3.844 9.379 90.00 99.49 90.00
Space group Cm (No. 8)
Unique sites:
Sr  0.000  0.000  0.000 (multiplicity 2)
Sr  0.096  0.000  0.530 (multiplicity 2)
Ti  0.166  0.500  0.856 (multiplicity 2)
Ti  0.221  0.500  0.182 (multiplicity 2)
Ti  0.286  0.500  0.513 (multiplicity 2)
Ti  0.312  0.000  0.996 (multiplicity 2)
Ti  0.389  0.000  0.311 (multiplicity 2)
Ti  0.432  0.000  0.668 (multiplicity 2)
N  0.122  0.500  0.030 (multiplicity 2)
N  0.259  0.000  0.166 (multiplicity 2)
O  0.056  0.500  0.728 (multiplicity 2)
O  0.182  0.500  0.362 (multiplicity 2)
O  0.196  0.000  0.854 (multiplicity 2)
O  0.218  0.500  0.648 (multiplicity 2)
O  0.299  0.500  0.979 (multiplicity 2)
O  0.317  0.000  0.508 (multiplicity 2)
O  0.356  0.500  0.321 (multiplicity 2)
O  0.403  0.000  0.847 (multiplicity 2)
O  0.416  0.500  0.633 (multiplicity 2)
O  0.430  0.000  0.134 (multiplicity 2)
O  0.489  0.000  0.446 (multiplicity 2)

Results
* energy relative to the elements, uncorrected: -2.775 eV per atom

---

No. 4
Density functional theory data (PBE-GGA) for a relaxed structure of ThScCdRh.

Lattice parameters (Å, degrees): 7.143 7.143 7.143 90.00 90.00 90.00
Space group F-43m (No. 216)
Unique sites:
Th  0.000  0.000  0.000 (multiplicity 4)
Sc  0.000  0.000  0.500 (multiplicity 4)
Cd  0.250  0.250  0.750 (multiplicity 4)
Rh  0.250  0.250  0.250 (multiplicity 4)

Results
* energy of formation: -0.368 eV per atom

---

No. 5
Density functional theory data (PBE-GGA) for a relaxed structure of PmPt6.

Lattice parameters (Å, degrees): 6.060 6.060 6.060 90.00 90.00 90.00
Space group Pm-3m (No. 221)
Unique sites:
Pm  0.000  0.000  0.000 (multiplicity 1)
Pt  0.196  0.500  0.500 (multiplicity 6)

Results
* energy of formation: 0.978 eV per atom

---

No. 6
Density functional theory data (PBE-GGA) for a relaxed structure of Na4InHg.

Lattice parameters (Å, degrees): 3.405 5.582 9.101 90.00 100.02 90.00
Space group Pm (No. 6)
Unique sites:
Na  0.000  0.000  0.000 (multiplicity 1)
Na  0.114  0.500  0.205 (multiplicity 1)
Na  0.320  0.000  0.650 (multiplicity 1)
Na  0.774  0.500  0.538 (multiplicity 1)
In  0.441  0.500  0.864 (multiplicity 1)
Hg  0.673  0.000  0.330 (multiplicity 1)

Results
* energy of formation: -0.118 eV per atom

---

No. 7
Density functional theory data (PBE-GGA) for a relaxed structure of Nd2BeAgPd6.

Lattice parameters (Å, degrees): 5.755 5.790 7.233 69.66 69.08 61.77
Space group P-1 (No. 2)
Unique sites:
Nd  0.233  0.234  0.203 (multiplicity 2)
Be  0.500  0.500  0.500 (multiplicity 1)
Ag  0.000  0.000  0.000 (multiplicity 1)
Pd  0.156  0.686  0.359 (multiplicity 2)
Pd  0.288  0.289  0.750 (multiplicity 2)
Pd  0.316  0.848  0.636 (multiplicity 2)

Results
* energy of formation: -0.520 eV per atom

---

No. 8
Density functional theory data (PBE-GGA) for a relaxed structure of K2Tl2Pd3.

Lattice parameters (Å, degrees): 12.645 4.485 8.003 90.00 119.30 90.00
Space group C2/m (No. 12)
Unique sites:
K  0.125  0.000  0.237 (multiplicity 4)
Tl  0.133  0.000  0.700 (multiplicity 4)
Pd  0.000  0.500  0.500 (multiplicity 2)
Pd  0.172  0.500  0.920 (multiplicity 4)

Results
* energy of formation: -0.137 eV per atom

---

No. 9
Density functional theory data (PBE-GGA) for a relaxed structure of Y2Be.

Lattice parameters (Å, degrees): 6.833 6.833 6.833 90.00 90.00 90.00
Space group Pa-3 (No. 205)
Unique sites:
Y  0.160  0.160  0.160 (multiplicity 8)
Be  0.000  0.000  0.500 (multiplicity 4)

Results
* energy of formation: 0.255 eV per atom

---

No. 10
Density functional theory data (PBE-GGA) for a relaxed structure of CuSb2Pt.

Lattice parameters (Å, degrees): 6.036 7.174 3.638 90.00 90.00 90.00
Space group Cmmm (No. 65)
Unique sites:
Cu  0.000  0.000  0.000 (multiplicity 2)
Sb  0.250  0.250  0.500 (multiplicity 4)
Pt  0.000  0.500  0.000 (multiplicity 2)

Results
* energy relative to the elements, uncorrected: 0.059 eV per atom

---

No. 11
Density functional theory data (PBE-GGA) for a relaxed structure of Nd6SiPt2I3.

Lattice parameters (Å, degrees): 7.485 12.974 8.280 90.00 107.56 90.00
Space group C2/m (No. 12)
Unique sites:
Nd  0.224  0.000  0.192 (multiplicity 4)
Nd  0.235  0.330  0.192 (multiplicity 8)
Si  0.000  0.500  0.000 (multiplicity 2)
Pt  0.000  0.167  0.000 (multiplicity 4)
I  0.000  0.000  0.500 (multiplicity 2)
I  0.000  0.338  0.500 (multiplicity 4)

Results
* energy relative to the elements, uncorrected: -1.007 eV per atom

---

No. 12
Density functional theory data (PBE-GGA) for a relaxed structure of Si2TcOs.

Lattice parameters (Å, degrees): 2.8419 2.8419 23.3636 90.00 90.00 120.00
Space group R-3m (No. 166, hexagonal axes)
Unique sites:
Si  0.0000  0.0000  0.2490 (multiplicity 6)
Tc  0.0000  0.0000  0.0000 (multiplicity 3)
Os  0.0000  0.0000  0.5000 (multiplicity 3)

Results
* energy relative to the elements, uncorrected: -0.168 eV per atom

---

No. 13
Density functional theory data (PBE-GGA) for a relaxed structure of LiZr3Be.

Lattice parameters (Å, degrees): 4.783 4.783 4.783 90.00 90.00 90.00
Space group Pm-3m (No. 221)
Unique sites:
Li  0.000  0.000  0.000 (multiplicity 1)
Zr  0.000  0.500  0.500 (multiplicity 3)
Be  0.500  0.500  0.500 (multiplicity 1)

Results
* energy of formation: 0.472 eV per atom

---

No. 14
Density functional theory data (PBE-GGA) for a relaxed structure of MgAl2W.

Lattice parameters (Å, degrees): 2.866 4.031 5.708 90.00 90.00 90.00
Space group Pmmm (No. 47)
Unique sites:
Mg  0.000  0.000  0.000 (multiplicity 1)
Al  0.500  0.500  0.269 (multiplicity 2)
W  0.000  0.000  0.500 (multiplicity 1)

Results
* energy of formation: 0.030 eV per atom

---

No. 15
Density functional theory data (PBE-GGA) for a relaxed structure of DyCuSi.

Lattice parameters (Å, degrees): 4.1574 4.1574 7.4416 90.00 90.00 120.00
Space group P6_3/mmc (No. 194)
Unique sites:
Dy  0.0000  0.0000  0.0000 (multiplicity 2)
Cu  0.3333  0.6667  0.2500 (multiplicity 2)
Si  0.3333  0.6667  0.7500 (multiplicity 2)

Results
* energy relative to the elements, uncorrected: -0.673 eV per atom

---

No. 16
Density functional theory data (PBE-GGA) for a relaxed structure of LiCu.

Lattice parameters (Å, degrees): 9.759 2.586 4.638 90.00 117.26 90.00
Space group C2/m (No. 12)
Unique sites:
Li  0.115  0.000  0.440 (multiplicity 4)
Cu  0.133  0.500  0.972 (multiplicity 4)

Results
* energy of formation: -0.020 eV per atom

---

No. 17
Density functional theory data (PBE-GGA) for a relaxed structure of In2CuSi.

Lattice parameters (Å, degrees): 3.100 4.548 11.617 90.00 90.00 90.00
Space group Imm2 (No. 44)
Unique sites:
In  0.000  0.000  0.000 (multiplicity 2)
In  0.000  0.500  0.199 (multiplicity 2)
Cu  0.000  0.000  0.467 (multiplicity 2)
Si  0.000  0.500  0.803 (multiplicity 2)

Results
* energy relative to the elements, uncorrected: 0.238 eV per atom

---

No. 18
Density functional theory data (PBE-GGA) for a relaxed structure of Te2OsRuI.

Lattice parameters (Å, degrees): 5.116 5.116 5.356 90.00 90.00 90.00
Space group P4/mmm (No. 123)
Unique sites:
Te  0.000  0.500  0.000 (multiplicity 2)
Os  0.000  0.000  0.500 (multiplicity 1)
Ru  0.500  0.500  0.000 (multiplicity 1)
I  0.500  0.500  0.500 (multiplicity 1)

Results
* energy relative to the elements, uncorrected: 1.532 eV per atom

---

No. 19
Density functional theory data (PBE-GGA) for a relaxed structure of K2AlOs.

Lattice parameters (Å, degrees): 5.540 5.540 3.885 90.00 90.00 90.00
Space group P4/mmm (No. 123)
Unique sites:
K  0.000  0.500  0.000 (multiplicity 2)
Al  0.000  0.000  0.500 (multiplicity 1)
Os  0.500  0.500  0.500 (multiplicity 1)

Results
* energy of formation: 1.585 eV per atom

---

No. 20
Density functional theory data (PBE-GGA) for a relaxed structure of Mg6Tl3Zn.

Lattice parameters (Å, degrees): 8.967 5.023 11.095 90.00 112.26 90.00
Space group P2_1/m (No. 11)
Unique sites:
Mg  0.046  0.250  0.423 (multiplicity 2)
Mg  0.194  0.750  0.170 (multiplicity 2)
Mg  0.272  0.250  0.019 (multiplicity 2)
Mg  0.350  0.250  0.329 (multiplicity 2)
Mg  0.361  0.750  0.802 (multiplicity 2)
Mg  0.435  0.250  0.644 (multiplicity 2)
Tl  0.028  0.750  0.878 (multiplicity 2)
Tl  0.137  0.250  0.719 (multiplicity 2)
Tl  0.283  0.750  0.479 (multiplicity 2)
Zn  0.469  0.750  0.080 (multiplicity 2)

Results
* energy of formation: -0.021 eV per atom